Material: Pb2WF2
Method: DFT, GGA+U
State: relaxed

Cell: 8.3545 8.3545 3.3616 Å, 90.00 90.00 90.00°
Fractional positions:
F (0.6253, 0.8747, 0.5000)
F (0.3747, 0.1253, 0.5000)
Pb (0.2682, 0.7682, 0.0000)
F (0.8747, 0.3747, 0.5000)
F (0.1253, 0.6253, 0.5000)
Pb (0.2318, 0.2682, 0.0000)
W (0.0000, 0.0000, 0.0000)
Pb (0.7318, 0.2318, 0.0000)
W (0.5000, 0.5000, 0.0000)
Pb (0.7682, 0.7318, 0.0000)

## Properties
SG = No. 127
Relative energy among the computed polymorphs = 0.0489 eV per atom
DFT total energy = -20.809 eV per formula unit
Total moment = 0.76 μB/atom